No. 1
Density functional theory data (SCAN) for a crystal of Ta3CCl relaxed with PBEsol.

```
data_Ta3CCl
_chemical_formula_sum 'Ta3 C1 Cl1'
_symmetry_space_group_name_H-M 'P m -3 m'
_symmetry_Int_Tables_number 221
_symmetry_space_group_name_Hall '-P 4 2 3'
_cell_length_a 4.4198
_cell_length_b 4.4198
_cell_length_c 4.4198
_cell_angle_alpha 90.00
_cell_angle_beta 90.00
_cell_angle_gamma 90.00
loop_
_atom_site_label
_atom_site_type_symbol
_atom_site_fract_x
_atom_site_fract_y
_atom_site_fract_z
Ta1 Ta 0.0000 0.0000 0.5000
C1 C 0.5000 0.5000 0.5000
Cl1 Cl 0.0000 0.0000 0.0000
```

Computed properties:
As for the total DFT energy (no corrections): -41.257 eV/atom. The calculation puts the total magnetization at 0.00 μB/atom.

No. 2
Density functional theory data (SCAN) for a crystal of ZrTaCCl2 relaxed with PBEsol.

```
data_ZrTaCCl2
_chemical_formula_sum 'Zr1 Ta1 C1 Cl2'
_symmetry_space_group_name_H-M 'P 4/m m m'
_symmetry_Int_Tables_number 123
_symmetry_space_group_name_Hall '-P 4 2'
_cell_length_a 4.6364
_cell_length_b 4.6364
_cell_length_c 5.6219
_cell_angle_alpha 90.00
_cell_angle_beta 90.00
_cell_angle_gamma 90.00
loop_
_atom_site_label
_atom_site_type_symbol
_atom_site_fract_x
_atom_site_fract_y
_atom_site_fract_z
Zr1 Zr 0.0000 0.0000 0.0000
Ta1 Ta 0.0000 0.0000 0.5000
C1 C 0.5000 0.5000 0.5000
Cl1 Cl 0.0000 0.5000 0.0000
```

Computed properties:
As for the total DFT energy (no corrections): -23.180 eV/atom. The calculation puts the total magnetization at 0.05 μB/atom.